Record 1
Density functional theory data (PBE) for an optimized crystal structure of DyEr2ScIn2.

Calculated values
Energy   -4.6075 eV per atom
Crystal system   hexagonal
SG   P-6m2

a b c (Å): 5.259 5.259 6.621
angles (deg): 90.00 90.00 120.00
Site moments in Bohr magnetons follow the coordinates.
Fractional positions:
1 In 0.333 0.667 0.000  0.00
2 In 0.000 0.000 0.500  -0.01
3 Er 0.667 0.333 0.258  0.22
4 Er 0.667 0.333 0.742  0.20
5 Sc 0.333 0.667 0.500  0.23
6 Dy 0.000 0.000 0.000  0.11


Record 2
Density functional theory data (PBE) for an optimized crystal structure of DyErIn3Si2.

Calculated values
Energy   -4.4445 eV per atom
Crystal system   monoclinic
SG   Cm

a b c (Å): 5.718 5.718 6.979
angles (deg): 99.10 99.10 43.80
Fractional positions:
1 In 0.305 0.305 0.650
2 In 0.696 0.696 0.349
3 In 0.000 0.000 0.499
4 Si 0.093 0.093 0.118
5 Si 0.907 0.907 0.884
6 Er 0.379 0.379 0.167
7 Dy 0.621 0.621 0.832


Record 3
Density functional theory data (PBE) for an optimized crystal structure of SmDy2ErIn2.

Calculated values
Energy   -4.3414 eV per atom
Crystal system   hexagonal
SG   P-6m2

a b c (Å): 5.402 5.402 6.753
angles (deg): 90.00 90.00 120.00
Site moments in Bohr magnetons follow the coordinates.
Fractional positions:
1 Sm 0.333 0.667 0.000  0.10
2 In 0.333 0.667 0.500  -0.01
3 In 0.667 0.333 0.000  0.00
4 Er 0.667 0.333 0.500  0.21
5 Dy 0.000 0.000 0.745  0.22
6 Dy 0.000 0.000 0.255  0.23


Record 4
Density functional theory data (PBE) for an optimized crystal structure of Sm2DyErIn2.

Calculated values
Energy   -4.3613 eV per atom
Crystal system   trigonal
SG   P-3m1

a b c (Å): 5.433 5.433 6.780
angles (deg): 90.00 90.00 120.00
Site moments in Bohr magnetons follow the coordinates.
Fractional positions:
1 Sm 0.333 0.667 0.250  0.05
2 Sm 0.667 0.333 0.750  0.05
3 In 0.333 0.667 0.750  0.00
4 In 0.667 0.333 0.250  0.00
5 Er 0.000 0.000 0.000  0.07
6 Dy 0.000 0.000 0.500  0.12


Record 5
Density functional theory data (PBE) for an optimized crystal structure of SmDyEr2In2.

Calculated values
Energy   -4.3344 eV per atom
Crystal system   hexagonal
SG   P-6m2

a b c (Å): 5.399 5.399 6.739
angles (deg): 90.00 90.00 120.00
Site moments in Bohr magnetons follow the coordinates.
Fractional positions:
1 Dy 0.667 0.333 0.000  0.08
2 In 0.667 0.333 0.500  0.00
3 In 0.333 0.667 0.000  0.00
4 Sm 0.333 0.667 0.500  0.05
5 Er 0.000 0.000 0.248  0.08
6 Er 0.000 0.000 0.752  0.10


Record 6
Density functional theory data (PBE) for an optimized crystal structure of DyEr2TmIn2.

Calculated values
Energy   -4.2944 eV per atom
Crystal system   hexagonal
SG   P-6m2

a b c (Å): 5.347 5.347 6.682
angles (deg): 90.00 90.00 120.00
Site moments in Bohr magnetons follow the coordinates.
Fractional positions:
1 Er 0.000 0.000 0.250  0.11
2 Er 0.000 0.000 0.750  0.13
3 Tm 0.333 0.667 0.500  0.10
4 Dy 0.667 0.333 0.000  0.08
5 In 0.667 0.333 0.500  -0.01
6 In 0.333 0.667 0.000  0.00


Record 7
Density functional theory data (PBE) for an optimized crystal structure of DyEr2TmIn4.

Calculated values
Energy   -4.0474 eV per atom
Crystal system   orthorhombic
SG   Amm2

a b c (Å): 6.993 7.284 7.284
angles (deg): 36.21 90.00 90.00
Fractional positions:
1 Tm 0.500 0.777 0.777
2 In 0.209 0.605 0.605
3 In 0.791 0.605 0.605
4 In 0.293 0.395 0.395
5 In 0.707 0.395 0.395
6 Dy 0.000 0.224 0.224
7 Er 0.000 0.952 0.952
8 Er 0.500 0.048 0.048


Record 8
Density functional theory data (PBE) for an optimized crystal structure of Dy2YErIn4.

Calculated values
Energy   -4.3295 eV per atom
Crystal system   orthorhombic
SG   Amm2

a b c (Å): 7.033 7.338 7.338
angles (deg): 36.04 90.00 90.00
Fractional positions:
1 Dy 0.500 0.724 0.724
2 Dy 0.000 0.276 0.276
3 In 0.708 0.104 0.104
4 In 0.207 0.896 0.896
5 In 0.793 0.896 0.896
6 In 0.292 0.104 0.104
7 Y 0.500 0.452 0.452
8 Er 0.000 0.548 0.548


Record 9
Density functional theory data (PBE) for an optimized crystal structure of DyErIr2.

Calculated values
Crystal system   tetragonal
Calculated formation energy   -853 meV/atom
SG   P4/mmm

a b c (Å): 4.739 4.739 3.506
angles (deg): 90.00 90.00 90.00
Fractional positions:
1 Ir 0.500 0.000 0.000
2 Ir 0.000 0.500 0.000
3 Er 0.000 0.000 0.500
4 Dy 0.500 0.500 0.500


Record 10
Density functional theory data (PBE) for an optimized crystal structure of DyErIr2.

Calculated values
Crystal system   orthorhombic
Calculated formation energy   -764 meV/atom
SG   Pmc2_1

a b c (Å): 4.248 5.570 7.216
angles (deg): 90.00 90.00 90.00
Fractional positions:
1 Ir 0.000 0.116 0.461
2 Ir 0.500 0.389 0.539
3 Ir 0.000 0.884 0.961
4 Ir 0.500 0.611 0.039
5 Dy 0.500 0.873 0.676
6 Dy 0.500 0.127 0.176
7 Er 0.000 0.628 0.323
8 Er 0.000 0.372 0.823


Record 11
Density functional theory data (PBE) for an optimized crystal structure of DyEr2Lu4Ir2S2.

Calculated values
Energy   -6.3809 eV per atom
Crystal system   orthorhombic
SG   Imm2

a b c (Å): 8.790 8.790 8.790
angles (deg): 154.83 67.33 118.71
Fractional positions:
1 Ir 0.512 0.751 0.761
2 Ir 0.989 0.751 0.239
3 Dy 0.677 0.677 0.000
4 Lu 0.368 0.050 0.318
5 Lu 0.061 0.424 0.637
6 Lu 0.786 0.424 0.363
7 Lu 0.732 0.050 0.682
8 Er 0.145 0.265 0.880
9 Er 0.384 0.265 0.120
10 S 0.015 0.015 0.000
11 S 0.425 0.925 0.500


Record 12
Density functional theory data (PBE) for an optimized crystal structure of DyEr4Lu2Ir2Se2.

Calculated values
Energy   -6.2312 eV per atom
Crystal system   orthorhombic
SG   Imm2

a b c (Å): 8.989 8.989 8.989
angles (deg): 155.15 66.85 119.06
Fractional positions:
1 Er 0.778 0.420 0.358
2 Er 0.390 0.265 0.125
3 Er 0.062 0.420 0.642
4 Er 0.141 0.265 0.875
5 Lu 0.735 0.052 0.683
6 Lu 0.369 0.052 0.317
7 Ir 0.512 0.751 0.761
8 Ir 0.990 0.751 0.239
9 Dy 0.679 0.679 0.000
10 Se 0.018 0.018 0.000
11 Se 0.422 0.922 0.500